(1)
Material: Zr2ScPb
Method: DFT, SCAN
State: PBEsol geometry

```
data_Zr2ScPb
_chemical_formula_sum 'Zr2 Sc1 Pb1'
_cell_length_a 3.2326
_cell_length_b 5.0723
_cell_length_c 5.4595
_cell_angle_alpha 90.00
_cell_angle_beta 93.33
_cell_angle_gamma 90.00
_symmetry_space_group_name_H-M 'P 1'
_symmetry_Int_Tables_number 1
_symmetry_space_group_name_Hall 'P 1'
loop_
_atom_site_label
_atom_site_fract_x
_atom_site_fract_y
_atom_site_fract_z
Zr1 0.0000 0.0000 0.0000
Zr2 0.1101 0.5000 0.6578
Sc1 0.5567 0.0000 0.5027
Pb1 0.5556 0.5000 0.1658
```

Output
DFT total energy	-38.0725	eV per atom
symmetry	No. 6

(2)
Material: ReIr2Pt
Method: DFT, SCAN
State: PBEsol geometry

```
data_ReIr2Pt
_chemical_formula_sum 'Re1 Ir2 Pt1'
_cell_length_a 2.7288
_cell_length_b 2.7288
_cell_length_c 7.7325
_cell_angle_alpha 90.00
_cell_angle_beta 90.00
_cell_angle_gamma 90.00
_symmetry_space_group_name_H-M 'P 1'
_symmetry_Int_Tables_number 1
_symmetry_space_group_name_Hall 'P 1'
loop_
_atom_site_label
_atom_site_fract_x
_atom_site_fract_y
_atom_site_fract_z
Re1 0.0000 0.0000 0.0000
Ir1 0.5000 0.5000 0.2387
Ir2 0.5000 0.5000 0.7613
Pt1 0.0000 0.0000 0.5000
```

Output
DFT total energy	-71.0149	eV per atom
symmetry	No. 123

(3)
Material: FeCoMo2
Method: DFT, SCAN
State: PBEsol geometry

```
data_FeCoMo2
_chemical_formula_sum 'Fe1 Co1 Mo2'
_cell_length_a 2.6346
_cell_length_b 4.2060
_cell_length_c 4.5366
_cell_angle_alpha 90.00
_cell_angle_beta 94.20
_cell_angle_gamma 90.00
_symmetry_space_group_name_H-M 'P 1'
_symmetry_Int_Tables_number 1
_symmetry_space_group_name_Hall 'P 1'
loop_
_atom_site_label
_atom_site_fract_x
_atom_site_fract_y
_atom_site_fract_z
Fe1 0.0000 0.0000 0.0000
Co1 0.0232 0.5000 0.6635
Mo1 0.4348 0.0000 0.5093
Mo2 0.6007 0.5000 0.1500
```

Output
DFT total energy	-26.0121	eV per atom
symmetry	No. 6

(4)
Material: MgGeO3
Method: DFT, SCAN
State: PBEsol geometry

```
data_MgGeO3
_chemical_formula_sum 'Mg2 Ge2 O6'
_cell_length_a 5.4133
_cell_length_b 5.4133
_cell_length_c 5.4133
_cell_angle_alpha 54.59
_cell_angle_beta 54.59
_cell_angle_gamma 54.59
_symmetry_space_group_name_H-M 'P 1'
_symmetry_Int_Tables_number 1
_symmetry_space_group_name_Hall 'P 1'
loop_
_atom_site_label
_atom_site_fract_x
_atom_site_fract_y
_atom_site_fract_z
Mg1 0.1411 0.1411 0.1411
Mg2 0.8589 0.8589 0.8589
Ge1 0.3466 0.3466 0.3466
Ge2 0.6534 0.6534 0.6534
O1 0.0595 0.4545 0.7191
O2 0.2809 0.9405 0.5455
O3 0.4545 0.7191 0.0595
O4 0.5455 0.2809 0.9405
O5 0.7191 0.0595 0.4545
O6 0.9405 0.5455 0.2809
```

Output
raw formation energy	-2350	meV/atom
symmetry	No. 148